# 1
Material: Cs2NdUSe4
Method: DFT, PBE
State: optimized geometry

Calculated values
- N(E_F): 0.98 states/eV per atom
- DFT total energy: -5.41 eV per atom
- M_tot: 3.0 μB/cell
- Mass density: 5805 kg/m³

Unit cell a=7.530 b=4.351 c=8.784 alpha=90.00 beta=106.63 gamma=90.00
Atoms (fractional coordinates):
Cs (0.000, 0.000, 0.000)
Cs (0.500, 0.500, 0.000)
Nd (0.000, 0.500, 0.500)
U (0.500, 0.000, 0.500)
Se (0.236, 0.000, 0.691)
Se (0.277, 0.500, 0.312)
Se (0.723, 0.500, 0.688)
Se (0.764, 0.000, 0.309)

# 2
Material: Tb2TlNi
Method: DFT, PBE
State: optimized geometry

Calculated values
- N(E_F): 1.03 states/eV per atom
- M_tot: 0.0 μB/cell
- Distance to the lowest polymorph of the same formula: 86 meV per atom
- Formation energy from the elements: -269 meV/atom
- Mass density: 9205 kg/m³

Unit cell a=3.805 b=3.805 c=25.077 alpha=90.00 beta=90.00 gamma=120.00
Atoms (fractional coordinates):
Tb (0.000, 0.000, 0.231)
Tb (0.000, 0.000, 0.769)
Tb (0.333, 0.667, 0.435)
Tb (0.333, 0.667, 0.898)
Tb (0.667, 0.333, 0.102)
Tb (0.667, 0.333, 0.565)
Tl (0.000, 0.000, 0.000)
Tl (0.333, 0.667, 0.667)
Tl (0.667, 0.333, 0.333)
Ni (0.000, 0.000, 0.500)
Ni (0.333, 0.667, 0.167)
Ni (0.667, 0.333, 0.833)

# 3
Material: Dy2TmPd
Method: DFT, PBE
State: optimized geometry

Calculated values
- N(E_F): 1.20 states/eV per atom
- M_tot: 0.0 μB/cell
- Distance to the lowest polymorph of the same formula: 75 meV per atom
- Formation energy from the elements: -404 meV/atom
- Mass density: 9414 kg/m³

Unit cell a=3.571 b=3.571 c=8.302 alpha=90.00 beta=90.00 gamma=90.00
Atoms (fractional coordinates):
Dy (0.000, 0.000, 0.202)
Dy (0.000, 0.000, 0.798)
Tm (0.500, 0.500, 0.500)
Pd (0.500, 0.500, 0.000)

# 4
Material: Tl4CdInHg2
Method: DFT, PBE
State: optimized geometry

Calculated values
- N(E_F): 0.40 states/eV per atom
- M_tot: 0.0 μB/cell
- Formation energy from the elements: 26 meV/atom
- Mass density: 10611 kg/m³

Unit cell a=5.850 b=3.469 c=11.445 alpha=90.00 beta=103.04 gamma=90.00
Atoms (fractional coordinates):
Tl (0.245, 0.000, 0.248)
Tl (0.253, 0.500, 0.755)
Tl (0.747, 0.500, 0.245)
Tl (0.755, 0.000, 0.752)
Cd (0.500, 0.000, 0.000)
In (0.500, 0.500, 0.500)
Hg (0.000, 0.000, 0.500)
Hg (0.000, 0.500, 0.000)

# 5
Material: CdAsO4
Method: DFT, PBE
State: optimized geometry

Calculated values
- N(E_F): 0.52 states/eV per atom
- DFT total energy: -5.04 eV per atom
- M_tot: 2.1 μB/cell
- Mass density: 5806 kg/m³

Unit cell a=6.124 b=6.124 c=5.372 alpha=97.68 beta=97.68 gamma=46.16
Atoms (fractional coordinates):
Cd (0.250, 0.750, 0.750)
Cd (0.750, 0.250, 0.250)
As (0.000, 0.500, 0.000)
As (0.500, 0.000, 0.500)
O (0.057, 0.751, 0.070)
O (0.231, 0.361, 0.709)
O (0.249, 0.943, 0.430)
O (0.361, 0.231, 0.209)
O (0.639, 0.769, 0.791)
O (0.751, 0.057, 0.570)
O (0.769, 0.639, 0.291)
O (0.943, 0.249, 0.930)

# 6
Material: Te2MoW3Se2S4
Method: DFT, PBE
State: optimized geometry

Calculated values
- N(E_F): 0.05 states/eV per atom
- M_tot: 0.0 μB/cell
- Distance to the lowest polymorph of the same formula: 21 meV per atom
- Mass density: 5655 kg/m³

Unit cell a=3.306 b=3.306 c=36.891 alpha=90.00 beta=90.00 gamma=120.00
Atoms (fractional coordinates):
Te (0.000, 0.000, 0.000)
Te (0.000, 0.000, 0.104)
Mo (0.000, 0.000, 0.850)
W (0.000, 0.000, 0.250)
W (0.333, 0.667, 0.052)
W (0.333, 0.667, 0.438)
Se (0.333, 0.667, 0.804)
Se (0.333, 0.667, 0.895)
S (0.000, 0.000, 0.397)
S (0.000, 0.000, 0.480)
S (0.333, 0.667, 0.209)
S (0.333, 0.667, 0.292)